! TiFeAs2F (PBE+U, relaxed); values from VASP
! - space group = P4/mmm (123)
! - total energy (eV/f.u.) = -25.00
&SYSTEM
  ibrav = 0, nat = 5, ntyp = 4
/
ATOMIC_SPECIES
Ti 47.87 Ti.upf
F 19.00 F.upf
As 74.92 As.upf
Fe 55.84 Fe.upf
ATOMIC_POSITIONS angstrom
Ti -3.248 -1.935 0.938
F 0.000 0.000 0.000
As -1.018 -0.229 2.166
As -2.177 0.180 -1.004
Fe -0.052 -1.885 -0.224
CELL_PARAMETERS angstrom
-4.355 0.360 -2.008
-0.105 -3.771 -0.449
-2.036 -0.459 4.333